VASP calculation (PBE) on a relaxed structure of DyY2Au4.

```
data_DyY2Au4
_cell_length_a 7.448
_cell_length_b 7.448
_cell_length_c 7.448
_cell_angle_alpha 139.44
_cell_angle_beta 139.44
_cell_angle_gamma 58.71
_space_group_name_H-M_alt 'P 1'
_space_group_IT_number 1
loop_
_space_group_symop_operation_xyz
'x,y,z'
loop_
_atom_site_label
_atom_site_type_symbol
_atom_site_fract_x
_atom_site_fract_y
_atom_site_fract_z
Dy1 Dy 0.000 0.000 0.000
Y1 Y 0.273 0.273 0.000
Y2 Y 0.727 0.727 0.000
Au1 Au 0.120 0.620 0.500
Au2 Au 0.380 0.880 0.500
Au3 Au 0.620 0.120 0.500
Au4 Au 0.880 0.380 0.500
```

Results
Mass density ... 10.8 Mg/m³
Final energy ... -35.6 eV for the cell shown
Space-group type ... I4/mmm
Formation enthalpy at 0 K ... -702.7 meV/atom

---

VASP calculation (PBE) on a relaxed structure of Dy3Y2Au2.

```
data_Dy3Y2Au2
_cell_length_a 6.576
_cell_length_b 6.576
_cell_length_c 9.156
_cell_angle_alpha 114.52
_cell_angle_beta 114.52
_cell_angle_gamma 33.03
_space_group_name_H-M_alt 'P 1'
_space_group_IT_number 1
loop_
_space_group_symop_operation_xyz
'x,y,z'
loop_
_atom_site_label
_atom_site_type_symbol
_atom_site_fract_x
_atom_site_fract_y
_atom_site_fract_z
Dy1 Dy 0.000 0.000 0.000
Dy2 Dy 0.114 0.114 0.445
Dy3 Dy 0.886 0.886 0.555
Y1 Y 0.350 0.350 0.189
Y2 Y 0.650 0.650 0.811
Au1 Au 0.330 0.330 0.771
Au2 Au 0.670 0.670 0.229
```

Results
Mass density ... 9.0 Mg/m³
Final energy ... -36.9 eV for the cell shown
Space-group type ... C2/m
Formation enthalpy at 0 K ... -509.5 meV/atom

---

VASP calculation (PBE) on a relaxed structure of DyYAu.

```
data_DyYAu
_cell_length_a 4.978
_cell_length_b 4.978
_cell_length_c 4.978
_cell_angle_alpha 60.00
_cell_angle_beta 60.00
_cell_angle_gamma 60.00
_space_group_name_H-M_alt 'P 1'
_space_group_IT_number 1
loop_
_space_group_symop_operation_xyz
'x,y,z'
loop_
_atom_site_label
_atom_site_type_symbol
_atom_site_fract_x
_atom_site_fract_y
_atom_site_fract_z
Dy1 Dy 0.000 0.000 0.000
Y1 Y 0.500 0.500 0.500
Au1 Au 0.250 0.250 0.250
```

Results
Mass density ... 8.5 Mg/m³
Final energy ... -15.7 eV for the cell shown
Space-group type ... F-43m
Formation enthalpy at 0 K ... -448.4 meV/atom
Polymorph energy (0 for the lowest one) ... 0.169 eV per atom

---

VASP calculation (PBE) on a relaxed structure of Dy2YAu.

```
data_Dy2YAu
_cell_length_a 10.250
_cell_length_b 10.250
_cell_length_c 10.250
_cell_angle_alpha 20.63
_cell_angle_beta 20.63
_cell_angle_gamma 20.63
_space_group_name_H-M_alt 'P 1'
_space_group_IT_number 1
loop_
_space_group_symop_operation_xyz
'x,y,z'
loop_
_atom_site_label
_atom_site_type_symbol
_atom_site_fract_x
_atom_site_fract_y
_atom_site_fract_z
Dy1 Dy 0.237 0.237 0.237
Dy2 Dy 0.763 0.763 0.763
Y1 Y 0.000 0.000 0.000
Au1 Au 0.500 0.500 0.500
```

Results
Mass density ... 8.7 Mg/m³
Final energy ... -20.1 eV for the cell shown
Space-group type ... R-3m
Formation enthalpy at 0 K ... -277.9 meV/atom
Polymorph energy (0 for the lowest one) ... 0.174 eV per atom